[1]
Here is a relaxed structure of ReSnC3 from Alexandria. Energies are from PBE.

Summary:
Polymorph energy (0 for the lowest one) (meV per atom): 1911
Total DFT energy (no corrections) (eV per cell): -26.36
SG: Pm-3m, No. 221
Energy relative to the elements (kJ/mol of atoms): 342.7

Unit cell a=4.1328 b=4.1328 c=4.1328 alpha=90.00 beta=90.00 gamma=90.00
Last column: nearest neighbours and their distance in Å.
Fractional positions:
1 Sn 0.0000 0.0000 0.0000  6 C 2.07
2 C 0.5000 0.0000 0.0000  2 Sn 2.07
3 C 0.0000 0.0000 0.5000  2 Sn 2.07
4 C 0.0000 0.5000 0.0000  2 Sn 2.07
5 Re 0.5000 0.5000 0.5000  12 C 2.92

=====

[2]
Here is a relaxed structure of YInPt from Alexandria. Energies are from PBE.

Summary:
Total DFT energy (no corrections) (eV per cell): -17.74
SG: P-6m2, No. 187
Energy relative to the elements (kJ/mol of atoms): -80.3

Unit cell a=4.6773 b=4.6773 c=3.5755 alpha=90.00 beta=90.00 gamma=120.00
Last column: nearest neighbours and their distance in Å.
Fractional positions:
1 Y 0.3333 0.6667 0.6666  6 Pt 3.24, 6 In 3.24, 2 Y 3.58
2 In 0.0000 0.0000 0.1667  3 Pt 2.70
3 Pt 0.6667 0.3333 0.1668  3 In 2.70

=====

[3]
Here is a relaxed structure of Ca2CdCo from Alexandria. Energies are from PBE.

Summary:
Total DFT energy (no corrections) (eV per cell): -11.47
SG: P4mm, No. 99
Energy relative to the elements (kJ/mol of atoms): 13.4

Unit cell a=3.5609 b=3.5609 c=8.1260 alpha=90.00 beta=90.00 gamma=90.00
Last column: nearest neighbours and their distance in Å.
Fractional positions:
1 Co 0.5000 0.5000 0.6981  4 Cd 2.75
2 Ca 0.0000 0.0000 0.9283  1 Cd 2.98, 4 Co 3.14
3 Ca 0.5000 0.5000 0.3124  1 Co 3.13, 4 Cd 3.23
4 Cd 0.0000 0.0000 0.5613  4 Co 2.75, 1 Ca 2.98

=====

[4]
Here is a relaxed structure of MgIn2 from Alexandria. Energies are from PBE.

Summary:
Total DFT energy (no corrections) (eV per cell): -14.41
SG: Amm2, No. 38
Energy relative to the elements (kJ/mol of atoms): -4.3

Unit cell a=8.8665 b=8.8665 c=5.0928 alpha=90.00 beta=90.00 gamma=157.91
Last column: nearest neighbours and their distance in Å.
Fractional positions:
1 In 0.3331 0.6669 0.0000  6 Mg 3.19-3.20, 6 In 3.28-3.40
2 Mg 0.8854 0.1146 0.5000  8 In 3.19-3.42, 4 Mg 3.31-3.40
3 In 0.6720 0.3280 0.0000  4 Mg 3.18, 8 In 3.25-3.47
4 In 0.5557 0.4443 0.5000  8 In 3.22-3.40, 4 Mg 3.36-3.42
5 Mg 0.2220 0.7780 0.5000  8 In 3.18-3.36, 4 Mg 3.31-3.40
6 In 0.9984 0.0016 0.0000  2 Mg 3.22, 10 In 3.22-3.47

=====

[5]
Here is a relaxed structure of TbDy3Sb2 from Alexandria. Energies are from PBE.

Summary:
Polymorph energy (0 for the lowest one) (meV per atom): 111
Total DFT energy (no corrections) (eV per cell): -61.56
SG: C2/m, No. 12
Raw formation energy (eV per atom): -0.6834

Unit cell a=4.3124 b=10.4535 c=9.7281 alpha=124.99 beta=90.00 gamma=101.90
Last column: nearest neighbours and their distance in Å.
Fractional positions:
1 Dy 0.6449 0.2898 0.8134  4 Sb 3.19-3.23
2 Dy 0.3551 0.7102 0.1866  4 Sb 3.19-3.23
3 Sb 0.2495 0.4989 0.7781  7 Dy 3.19-3.46, 2 Tb 3.22
4 Tb 0.8902 0.7804 0.8962  6 Sb 3.18-3.31
5 Dy 0.9440 0.8879 0.5641  3 Sb 3.04-3.36, 3 Dy 3.19-3.27
6 Dy 0.0560 0.1121 0.4359  3 Sb 3.04-3.36, 3 Dy 3.19-3.27
7 Dy 0.3117 0.6234 0.5156  4 Sb 3.10-3.46, 4 Dy 3.20-3.27
8 Tb 0.1098 0.2196 0.1038  6 Sb 3.18-3.31
9 Sb 0.5089 0.0177 0.1721  4 Dy 3.04-3.23, 1 Sb 3.15, 4 Tb 3.18-3.31
10 Sb 0.7505 0.5011 0.2219  7 Dy 3.19-3.46, 2 Tb 3.22
11 Dy 0.6883 0.3766 0.4844  4 Sb 3.10-3.46, 4 Dy 3.20-3.27
12 Sb 0.4911 0.9823 0.8279  4 Dy 3.04-3.23, 1 Sb 3.15, 4 Tb 3.18-3.31

=====

[6]
Here is a relaxed structure of K2Dy2TiO6 from Alexandria. Energies are from PBE.

Summary:
Total DFT energy (no corrections) (eV per cell): -80.37
SG: C2/m, No. 12
Raw formation energy (eV per atom): -2.8475

Unit cell a=5.7243 b=5.7243 c=6.5803 alpha=97.73 beta=97.73 gamma=119.51
Last column: nearest neighbours and their distance in Å.
Fractional positions:
1 O 0.7586 0.7586 0.6700  1 Ti 2.01
2 Ti 0.0000 0.0000 0.5000  6 O 2.01-2.05
3 K 0.8380 0.1620 0.0000  6 O 2.72-3.01
4 Dy 0.6652 0.3348 0.5000  6 O 2.27-2.29
5 K 0.1620 0.8380 0.0000  6 O 2.72-3.01
6 Dy 0.3348 0.6652 0.5000  6 O 2.27-2.29
7 O 0.9520 0.6460 0.3303  1 Ti 2.05, 1 Dy 2.27
8 O 0.2414 0.2414 0.3300  1 Ti 2.01
9 O 0.6460 0.9520 0.3303  1 Ti 2.05, 1 Dy 2.27
10 O 0.0480 0.3540 0.6697  1 Ti 2.05, 1 Dy 2.27
11 O 0.3540 0.0480 0.6697  1 Ti 2.05, 1 Dy 2.27

=====

[7]
Here is a relaxed structure of In2Cu2Sn from Alexandria. Energies are from PBE.

Summary:
Total DFT energy (no corrections) (eV per cell): -17.08
SG: I4/mmm, No. 139
Energy relative to the elements (kJ/mol of atoms): 11.4

Unit cell a=3.4928 b=3.4928 c=9.0722 alpha=78.90 beta=78.90 gamma=90.00
Last column: nearest neighbours and their distance in Å.
Fractional positions:
1 Sn 0.0000 0.0000 0.0000  8 In 3.29, 4 Sn 3.49
2 In 0.6249 0.6249 0.7503  4 Cu 2.80
3 Cu 0.2500 0.7500 0.5000  4 Cu 2.47
4 Cu 0.7500 0.2500 0.5000  4 Cu 2.47
5 In 0.3751 0.3751 0.2497  4 Cu 2.80

=====

[8]
Here is a relaxed structure of AcErAs from Alexandria. Energies are from PBE.

Summary:
Polymorph energy (0 for the lowest one) (meV per atom): 330
Total DFT energy (no corrections) (eV per cell): -15.11
SG: P3m1, No. 156
Energy relative to the elements (kJ/mol of atoms): -57.5

Unit cell a=4.5004 b=4.8879 c=4.8879 alpha=120.00 beta=90.00 gamma=90.00
Last column: nearest neighbours and their distance in Å.
Fractional positions:
1 As 0.1558 0.0000 0.0000  3 Er 2.82
2 Ac 0.6729 0.6667 0.3333  6 As 3.56-3.66, 6 Er 3.60-3.61
3 Er 0.1713 0.3333 0.6667  3 As 2.82

=====

[9]
Here is a relaxed structure of InRe2Pb from Alexandria. Energies are from PBE.

Summary:
Polymorph energy (0 for the lowest one) (meV per atom): 482
Total DFT energy (no corrections) (eV per cell): -28.15
SG: Imm2, No. 44
Energy relative to the elements (kJ/mol of atoms): 77.1

Unit cell a=6.5796 b=6.5796 c=6.5796 alpha=153.81 beta=138.21 gamma=49.99
Last column: nearest neighbours and their distance in Å.
Fractional positions:
1 Pb 0.2114 0.7114 0.5000  2 Pb 2.98, 6 Re 3.03-3.09
2 Re 0.9848 0.9848 0.0000  2 Re 2.54, 4 In 2.78
3 Re 0.8124 0.3124 0.5000  2 Re 2.54
4 In 0.4914 0.4914 0.0000  4 Re 2.78, 2 In 2.98

=====

[10]
Here is a relaxed structure of LaMg2Se from Alexandria. Energies are from PBE.

Summary:
Total DFT energy (no corrections) (eV per cell): -13.41
SG: R-3m, No. 166
Raw formation energy (eV per atom): -0.4525

Unit cell a=9.4060 b=9.4060 c=9.4060 alpha=23.15 beta=23.15 gamma=23.15
Last column: nearest neighbours and their distance in Å.
Fractional positions:
1 Se 0.2500 0.2500 0.2500  6 Mg 2.72
2 Mg 0.9761 0.9761 0.9761  3 Se 2.72
3 Mg 0.5239 0.5239 0.5239  3 Se 2.72
4 La 0.7500 0.7500 0.7500  6 Mg 3.66, 6 La 3.77

=====

[11]
Here is a relaxed structure of TiP2HS from Alexandria. Energies are from PBE.

Summary:
Polymorph energy (0 for the lowest one) (meV per atom): 0
Total DFT energy (no corrections) (eV per cell): -25.55
SG: P4/mmm, No. 123

Unit cell a=3.5496 b=3.5496 c=5.1674 alpha=90.00 beta=90.00 gamma=90.00
Last column: nearest neighbours and their distance in Å.
Fractional positions:
1 Ti 0.5000 0.5000 0.5000  4 S 2.51
2 S 0.0000 0.0000 0.5000  4 Ti 2.51, 2 H 2.58
3 P 0.5000 0.0000 0.0000  2 H 1.77
4 P 0.0000 0.5000 0.0000  2 H 1.77
5 H 0.0000 0.0000 0.0000  4 P 1.77

=====

[12]
Here is a relaxed structure of CsRbHgTe from Alexandria. Energies are from PBE.

Summary:
Total DFT energy (no corrections) (eV per cell): -8.30
SG: F-43m, No. 216
Raw formation energy (eV per atom): -0.7591

Unit cell a=6.2983 b=6.2983 c=6.2983 alpha=60.00 beta=60.00 gamma=60.00
Last column: nearest neighbours and their distance in Å.
Fractional positions:
1 Te 0.2500 0.2500 0.2500  4 Rb 3.86, 4 Cs 3.86
2 Hg 0.7500 0.7500 0.7500  4 Rb 3.86, 4 Cs 3.86
3 Rb 0.5000 0.5000 0.5000  4 Hg 3.86, 4 Te 3.86
4 Cs 0.0000 0.0000 0.0000  4 Te 3.86, 4 Hg 3.86